No. 1
The following is a PBE calculation of a relaxed Li2BePbO4 crystal, from Alexandria via LeMat-Bulk.

volume	89.4	Å³/cell
M_tot	0.000	μB/atom

Unit cell a=5.3449 b=5.3449 c=5.3449 alpha=74.76 beta=129.16 gamma=129.16
With the nearest neighbours (Å) after each atom.
Element x y z (fractional)
Li 0.5000 0.7500 0.2500  4 O 1.98
Li 0.0000 0.0000 0.0000  4 O 2.05
Be 0.0000 0.5000 0.5000  4 O 1.67
Pb 0.5000 0.2500 0.7500  4 O 2.10
O 0.5670 0.4020 0.3785  1 Be 1.67
O 0.9765 0.1650 0.5980  1 Be 1.67
O 0.0235 0.6215 0.1886  1 Be 1.67
O 0.4330 0.8114 0.8350  1 Be 1.67


No. 2
The following is a PBE calculation of a relaxed BaMnBe2Cl8 crystal, from Alexandria via LeMat-Bulk.

volume	274.9	Å³/cell
M_tot	0.417	μB/atom

Unit cell a=6.0306 b=6.0306 c=9.3964 alpha=71.28 beta=71.28 gamma=60.00
With the nearest neighbours (Å) after each atom.
Element x y z (fractional)
Ba 0.5000 0.5000 0.5000  12 Cl 3.49
Mn 0.0000 0.0000 0.0000  6 Cl 2.56
Be 0.2531 0.2531 0.2407  4 Cl 2.03
Be 0.7469 0.7469 0.7593  4 Cl 2.03
Cl 0.1757 0.1757 0.4730  1 Be 2.03
Cl 0.5967 0.2774 0.1746  1 Be 2.03
Cl 0.8243 0.8243 0.5270  1 Be 2.03
Cl 0.9512 0.5967 0.1746  1 Be 2.03
Cl 0.0488 0.4033 0.8254  1 Be 2.03
Cl 0.2774 0.9512 0.1746  1 Be 2.03
Cl 0.7226 0.0488 0.8254  1 Be 2.03
Cl 0.4033 0.7226 0.8254  1 Be 2.03


No. 3
The following is a PBE calculation of a relaxed AcPmGe4 crystal, from Alexandria via LeMat-Bulk.

volume	148.0	Å³/cell
M_tot	0.000	μB/atom
formation energy	-0.5908	eV/atom
energy above the most stable polymorph in this dataset	0	meV/atom

Unit cell a=4.4983 b=4.4983 c=8.4468 alpha=90.00 beta=90.00 gamma=120.00
With the nearest neighbours (Å) after each atom.
Element x y z (fractional)
Ac 0.0000 0.0000 0.5000  12 Ge 3.42
Pm 0.0000 0.0000 0.0000  12 Ge 3.27
Ge 0.3333 0.6667 0.2358  3 Ge 2.60
Ge 0.3333 0.6667 0.7642  3 Ge 2.60
Ge 0.6667 0.3333 0.2358  3 Ge 2.60
Ge 0.6667 0.3333 0.7642  3 Ge 2.60


No. 4
The following is a PBE calculation of a relaxed LiSbP2O8 crystal, from Alexandria via LeMat-Bulk.

volume	289.6	Å³/cell
M_tot	0.000	μB/atom
energy above the most stable polymorph in this dataset	0	meV/atom

Unit cell a=5.8685 b=4.9078 c=10.0597 alpha=88.51 beta=90.00 gamma=90.00
With the nearest neighbours (Å) after each atom.
Element x y z (fractional)
Li 0.2500 0.5829 0.7793  4 O 1.98-2.06
Li 0.7500 0.4171 0.2207  4 O 1.98-2.06
Sb 0.7500 0.0454 0.7202  6 O 1.97-2.05
Sb 0.2500 0.9546 0.2798  6 O 1.97-2.05
P 0.7500 0.6162 0.9042  4 O 1.48-1.61
P 0.2500 0.0919 0.5896  4 O 1.49-1.59
P 0.7500 0.9081 0.4104  4 O 1.49-1.59
P 0.2500 0.3838 0.0958  4 O 1.48-1.61
O 0.2500 0.3677 0.9491  1 P 1.48
O 0.7500 0.3087 0.8648  1 P 1.57
O 0.9510 0.7779 0.8274  1 P 1.61
O 0.5490 0.7779 0.8274  1 P 1.61
O 0.0383 0.2389 0.6563  1 P 1.59
O 0.4617 0.2389 0.6563  1 P 1.59
O 0.2500 0.7901 0.6060  1 P 1.49
O 0.7500 0.8085 0.5614  1 P 1.58
O 0.2500 0.1915 0.4386  1 P 1.58
O 0.7500 0.2099 0.3940  1 P 1.49
O 0.9617 0.7611 0.3437  1 P 1.59
O 0.5383 0.7611 0.3437  1 P 1.59
O 0.4510 0.2221 0.1726  1 P 1.61
O 0.0490 0.2221 0.1726  1 P 1.61
O 0.2500 0.6913 0.1352  1 P 1.57
O 0.7500 0.6323 0.0509  1 P 1.48


No. 5
The following is a PBE calculation of a relaxed BeMo2Rh2 crystal, from Alexandria via LeMat-Bulk.

volume	81.1	Å³/cell
M_tot	0.000	μB/atom
formation energy	0.6097	eV/atom

Unit cell a=6.6131 b=6.6131 c=6.6131 alpha=147.96 beta=147.96 gamma=45.95
With the nearest neighbours (Å) after each atom.
Element x y z (fractional)
Be 0.0000 0.0000 0.0000  8 Mo 2.83
Mo 0.5961 0.5961 0.0000  1 Mo 2.34, 4 Rh 2.62
Mo 0.4039 0.4039 0.0000  1 Mo 2.34, 4 Rh 2.62
Rh 0.2500 0.7500 0.5000  4 Rh 2.58, 4 Mo 2.62
Rh 0.7500 0.2500 0.5000  4 Rh 2.58, 4 Mo 2.62


No. 6
The following is a PBE calculation of a relaxed Ac3N2 crystal, from Alexandria via LeMat-Bulk.

volume	247.6	Å³/cell
M_tot	0.000	μB/atom
energy above the most stable polymorph in this dataset	68	meV/atom

Unit cell a=6.6586 b=6.6586 c=7.5065 alpha=63.67 beta=63.67 gamma=60.00
With the nearest neighbours (Å) after each atom.
Element x y z (fractional)
Ac 0.0679 0.7500 0.7500  4 N 2.68-2.77
Ac 0.7500 0.4321 0.7500  4 N 2.68-2.77
Ac 0.4321 0.0679 0.7500  4 N 2.68-2.77
Ac 0.2500 0.5679 0.2500  4 N 2.68-2.77
Ac 0.5679 0.9321 0.2500  4 N 2.68-2.77
Ac 0.9321 0.2500 0.2500  4 N 2.68-2.77
N 0.8351 0.8351 0.4946  6 Ac 2.68-2.77
N 0.3351 0.3351 0.9946  6 Ac 2.68-2.77
N 0.1649 0.1649 0.5054  6 Ac 2.68-2.77
N 0.6649 0.6649 0.0054  6 Ac 2.68-2.77


Raw total energy for every record listed, in sequence, given in eV per cell: -44.9 -52.3 -30.9 -158.9 -37.0 -65.8.